Entry 1:
Here is CaLaSc2 after structural relaxation from Alexandria via LeMat-Bulk. Energies are from PBEsol.

Cell lengths 3.4260, 5.9052, 6.0379 Å; angles 99.07, 90.00, 106.86 degrees
Sites, in units of the cell vectors:
Sc  0.7549  0.5099  0.7659
Sc  0.2451  0.4901  0.2341
Ca  0.0000  0.0000  0.5000
La  0.5000  0.0000  0.0000

The spin magnetization is 0.00 μB/cell. Its symmetry is C2/m, No. 12. As for the formation energy: 0.18 eV per atom. The polymorph energy (0 for the lowest one) is 0.0124 eV per atom.

***

Entry 2:
Here is NaBeO2F after structural relaxation from Alexandria via LeMat-Bulk. Energies are from PBEsol.

Cell lengths 3.8752, 3.9772, 3.9772 Å; angles 90.00, 90.00, 90.00 degrees
Sites, in units of the cell vectors:
Na  0.0000  0.0000  0.0000
Be  0.5000  0.5000  0.5000
O  0.0000  0.0000  0.5000
O  0.0000  0.5000  0.0000
F  0.5000  0.0000  0.0000

The spin magnetization is 2.00 μB/cell. As for the formation energy without anion corrections: 0.234 eV/atom. Its symmetry is P4/mmm, No. 123.

***

Entry 3:
Here is K2YPb after structural relaxation from Alexandria via LeMat-Bulk. Energies are from PBEsol.

Cell lengths 4.7804, 4.7804, 6.5943 Å; angles 90.00, 90.00, 90.00 degrees
Sites, in units of the cell vectors:
K  0.0000  0.0000  0.7697
K  0.0000  0.0000  0.2303
Pb  0.5000  0.5000  0.0000
Y  0.5000  0.5000  0.5000

The spin magnetization is 0.75 μB/cell. Its symmetry is P4/mmm, No. 123. As for the formation energy: 0.34 eV per atom.

***

Entry 4:
Here is Cu3ReAs after structural relaxation from Alexandria via LeMat-Bulk. Energies are from PBEsol.

Cell lengths 4.5645, 4.5645, 4.5645 Å; angles 90.00, 90.00, 90.00 degrees
Sites, in units of the cell vectors:
Re  0.0000  0.0000  0.0000
As  0.5000  0.5000  0.5000
Cu  0.0000  0.5000  0.0000
Cu  0.0000  0.0000  0.5000
Cu  0.5000  0.0000  0.0000

The spin magnetization is 0.00 μB/cell. Its symmetry is Pm-3m, No. 221. As for the formation energy: 1.69 eV per atom.

***

Number 1: electronic total energy -4.989 eV/atom. Number 2: electronic total energy -3.331 eV/atom. Number 3: electronic total energy -2.936 eV/atom. Number 4: electronic total energy -4.596 eV/atom.